# 1
## Pr3Pu3MgTe8 (PBE-GGA)

Data for a geometry-optimized Pr3Pu3MgTe8 structure.

Cell and atoms, written as POSCAR:
```
Pr3Pu3MgTe8
1.0
-3.0113 -5.8702 6.0230
-3.4057 0.0713 -8.2587
8.3606 -2.8940 1.3590
Pu Pr Mg Te
3 3 1 8
Cartesian
0.9718 -4.3465 -0.4383
2.4775 -1.4114 -3.4498
2.6747 -4.3821 3.6910
0.0000 0.0000 0.0000
-3.2085 -2.8995 -1.1178
-1.7029 0.0356 -4.1293
4.1803 -1.4470 0.6795
2.0525 -3.4906 -5.7608
-0.1089 -5.2024 4.8842
3.7925 -3.5263 -1.5414
2.2658 -6.4967 1.4255
0.5143 -6.4894 -2.6842
-0.3222 -2.1963 -2.3021
1.4293 -2.2036 1.8076
-1.8489 -5.1667 0.6647
```

Calculated values
Raw formation energy = -1.20 eV/atom
Symmetry = R-3m, No. 166

=====

# 2
## Pr4BBr5 (PBE-GGA)

Data for a geometry-optimized Pr4BBr5 structure.

Cell and atoms, written as POSCAR:
```
Pr4BBr5
1.0
0.0435 -0.3600 -4.0957
8.5626 0.1278 0.0796
-2.0890 -8.9302 2.8267
Pr Br B
4 5 1
Cartesian
0.1059 -2.8097 -1.8158
-0.2081 -9.2456 -1.2534
6.4111 -6.3526 0.6264
6.7251 0.0832 0.0640
4.2850 -6.1999 -1.4735
6.4542 -3.0037 0.3325
2.2321 -2.9625 0.2841
4.3030 -0.1161 -2.0081
0.0629 -6.1587 -1.5219
0.0217 -0.1800 -2.0479
```

Calculated values
Raw formation energy = -1.40 eV/atom
Symmetry = C2/m, No. 12

=====

# 3
## HfCuGe (PBE-GGA)

Data for a geometry-optimized HfCuGe structure.

Cell and atoms, written as POSCAR:
```
HfCuGe
1.0
-6.3889 2.7206 -2.2209
-6.8773 -2.3536 -0.5624
6.1348 0.6779 3.8804
Hf Ge Cu
2 2 2
Cartesian
-4.3804 0.1212 -0.9190
-8.8858 0.2458 -1.8643
-1.6956 0.0469 -0.3557
-11.5707 0.3201 -2.4276
-0.1271 1.6993 0.8297
-0.3712 -0.8378 1.6590
```

Calculated values
Formation energy = -0.5139 eV per atom
Symmetry = I4/mmm, No. 139

=====

# 4
## LaTbN2 (PBE-GGA)

Data for a geometry-optimized LaTbN2 structure.

Cell and atoms, written as POSCAR:
```
LaTbN2
1.0
-3.3692 1.1277 0.1244
0.7769 -3.1139 -1.5293
-1.4717 -5.5645 10.5829
La N Tb
2 4 2
Cartesian
-1.7089 -5.8734 6.9591
-2.3551 -1.6773 2.2189
-0.7767 -2.3486 0.2555
-3.2873 -5.2021 8.9226
-1.1694 -3.8337 3.0799
-2.8945 -3.7170 6.0981
0.0000 0.0000 0.0000
-0.7358 -2.7822 5.2914
```

Calculated values
Raw formation energy = -1.46 eV/atom
Symmetry = P6_3/mmc, No. 194

=====

# 5
## NdTm6Ga3 (PBE-GGA)

Data for a geometry-optimized NdTm6Ga3 structure.

Cell and atoms, written as POSCAR:
```
NdTm6Ga3
1.0
8.2210 0.0000 0.0000
0.0000 8.2163 0.1678
0.0000 -1.6699 8.0466
Nd Ga Tm
2 6 12
Cartesian
4.3677 4.9874 2.7410
0.2572 1.5589 5.4733
7.1231 3.9761 3.5470
7.9624 0.5410 2.2611
3.8519 2.0834 1.0319
7.9624 4.4630 7.1824
3.0126 2.5703 4.6673
3.8519 6.0054 5.9532
4.2028 0.5319 6.2918
1.3795 2.8661 2.2098
1.5458 -1.3388 7.7826
5.4900 1.5145 3.2869
2.5307 -0.2127 3.2737
6.6411 6.7591 4.9406
1.3795 5.0319 4.9274
6.6411 3.2386 0.5232
5.6563 7.8851 0.4317
5.4900 3.6803 6.0045
2.5307 3.3078 7.6912
0.0923 6.0145 1.9225
```

Calculated values
Formation energy = -0.3095 eV per atom
Symmetry = Cmc2_1, No. 36

=====

# 6
## RbLa2NbCd (PBE-GGA)

Data for a geometry-optimized RbLa2NbCd structure.

Cell and atoms, written as POSCAR:
```
RbLa2NbCd
1.0
-2.1557 -4.9071 -1.4273
4.5568 -0.6944 -4.4949
3.2720 -2.5152 3.7057
Cd Rb La Nb
1 1 2 1
Cartesian
2.8365 -4.0584 -1.1083
2.2784 -0.3472 -2.2474
-1.0779 -2.4536 -0.7137
1.6360 -1.2576 1.8528
0.0000 0.0000 0.0000
```

Calculated values
Formation energy = 0.6681 eV per atom
Symmetry = P4/mmm, No. 123

=====

# 7
## Th2MgH (PBE-GGA)

Data for a geometry-optimized Th2MgH structure.

Cell and atoms, written as POSCAR:
```
Th2MgH
1.0
-1.7521 2.7133 1.2016
-2.3162 1.5786 -2.0048
-7.8047 -4.0914 2.8211
H Th Mg
1 2 1
Cartesian
-2.7228 2.8529 -0.5306
-2.5055 0.4457 0.2831
-6.6474 -3.1014 2.2671
-5.9337 0.1035 1.0074
```

Calculated values
Symmetry = Cm, No. 8
E_tot = -4.99 eV/atom

=====

# 8
## K3PmPa2Te6 (PBE-GGA)

Data for a geometry-optimized K3PmPa2Te6 structure.

Cell and atoms, written as POSCAR:
```
K3PmPa2Te6
1.0
7.7397 -0.0012 -0.0003
-3.8690 6.7032 -0.0003
-1.2910 -2.2354 8.4145
Pa K Te Pm
2 3 6 1
Cartesian
-0.0029 4.4704 -0.0003
3.8736 2.2316 -0.0003
5.1842 -0.0158 4.2070
1.2898 2.2333 4.2070
-2.6045 4.4825 4.2070
2.5605 4.4334 1.8074
0.0192 0.0332 6.6065
2.6182 0.0002 1.8141
3.8879 2.1987 6.5998
-0.0385 4.4664 6.5998
-1.3083 2.2679 1.8141
0.0000 0.0000 0.0000
```

Calculated values
Raw formation energy = -1.08 eV/atom
Symmetry = C2/m, No. 12

=====

# 9
## LiCd2Pb (PBE-GGA)

Data for a geometry-optimized LiCd2Pb structure.

Cell and atoms, written as POSCAR:
```
LiCd2Pb
1.0
5.6953 0.0458 0.0000
2.2252 5.2429 0.0000
-3.9603 -2.6443 3.1245
Cd Li Pb
2 1 1
Cartesian
0.0000 0.0000 0.0000
3.9603 2.6443 0.0000
1.1126 2.6214 1.5623
2.8477 0.0229 1.5623
```

Calculated values
Formation energy = -0.1244 eV per atom
Symmetry = I4/mmm, No. 139

=====

# 10
## KSr (PBE-GGA)

Data for a geometry-optimized KSr structure.

Cell and atoms, written as POSCAR:
```
KSr
1.0
-7.7222 -9.3849 -10.3573
-7.0385 -7.6119 12.1451
-3.2120 2.7767 -0.1212
K Sr
8 8
Cartesian
-7.7279 -8.7625 4.0549
-5.3215 -6.0981 1.3208
-7.0328 -8.2343 -2.2671
-9.4392 -10.8987 0.4670
-3.6649 -1.0120 -0.4875
-14.3078 -13.2081 2.1541
-9.6758 -8.2607 -7.2568
-8.2969 -5.9594 8.9234
-4.8324 -2.1873 3.5275
-5.1368 -5.6930 5.7070
-10.6068 -12.0740 4.4820
-7.0847 -5.1912 -5.6048
-4.1539 -4.9228 -2.6942
-10.8880 -9.0289 7.2714
-9.6239 -11.3037 -3.9192
-13.1403 -12.0328 -1.8609
```

Calculated values
Formation energy = 0.1399 eV per atom
Symmetry = I4/m, No. 87

=====

# 11
## HSeF (PBE-GGA)

Data for a geometry-optimized HSeF structure.

Cell and atoms, written as POSCAR:
```
HSeF
1.0
-0.2042 -3.4337 -0.7720
1.8152 -1.8272 0.1118
-3.4743 -2.7170 14.0844
H F Se
2 2 2
Cartesian
0.1038 -2.7268 1.0467
-1.9671 -5.2510 12.3775
0.9796 -3.0714 1.2192
-2.8429 -4.9065 12.2050
-1.0093 -4.0052 4.5903
-0.8540 -3.9727 8.8339
```

Calculated values
Symmetry = P-1, No. 2
E_tot = -3.83 eV/atom

=====

# 12
## ScZnP4 (PBE-GGA)

Data for a geometry-optimized ScZnP4 structure.

Cell and atoms, written as POSCAR:
```
ScZnP4
1.0
0.0000 3.6210 3.6210
3.6210 0.0000 3.6210
3.6210 3.6210 0.0000
P Zn Sc
4 1 1
Cartesian
4.5380 4.5380 2.7040
4.5380 2.7040 4.5380
2.7040 2.7040 2.7040
2.7040 4.5380 4.5380
0.0000 0.0000 0.0000
5.4315 5.4315 5.4315
```

Calculated values
Formation energy = 0.1164 eV per atom
Symmetry = F-43m, No. 216

=====

Number 4 is which compound?
LaTbN2